Model i:
Below is an optimized crystal structure of BeBMo2, with properties calculated at the GGA-PBE level.

a b c (Å): 5.7884 5.7884 5.7884
angles (deg): 90.00 90.00 90.00
Last column: nearest neighbours and their distance in Å.
Space group F-43m (No. 216)
Asymmetric unit:
Be  0.0000  0.0000  0.0000 (multiplicity 4)  4 Mo 2.51, 4 B 2.51
B  0.2500  0.2500  0.2500 (multiplicity 4)  4 Mo 2.51, 4 Be 2.51
Mo  0.0000  0.0000  0.5000 (multiplicity 4)  4 Mo 2.51, 4 B 2.51
Mo  0.2500  0.2500  0.7500 (multiplicity 4)  4 Mo 2.51, 4 Be 2.51

Density   7.25 g cm⁻³

Model ii:
Below is an optimized crystal structure of BeBMo2, with properties calculated at the GGA-PBE level.

a b c (Å): 3.1806 3.1754 8.6405
angles (deg): 90.00 90.00 90.00
Last column: nearest neighbours and their distance in Å.
Space group Amm2 (No. 38)
Asymmetric unit:
Be  0.0000  0.0000  0.0000 (multiplicity 2)  2 B 1.94
B  0.5000  0.0000  0.8715 (multiplicity 2)  2 Be 1.94
Mo  0.0000  0.0000  0.2894 (multiplicity 2)  4 B 2.36, 3 Be 2.42-2.50
Mo  0.5000  0.0000  0.5854 (multiplicity 2)  4 Be 2.37, 3 B 2.44-2.47

Density   8.06 g cm⁻³

Q: Which of them is the most stable? A: model ii.

Model i:
Below is an optimized crystal structure of BeB4Mo, with properties calculated at the GGA-PBE level.

a b c (Å): 2.9403 5.1980 6.3840
angles (deg): 90.00 90.00 90.00
Last column: nearest neighbours and their distance in Å.
Space group Immm (No. 71)
Asymmetric unit:
Be  0.0000  0.0000  0.0000 (multiplicity 2)  12 B 2.28-2.42
B  0.0000  0.3387  0.2599 (multiplicity 8)  3 B 1.68-1.74
Mo  0.0000  0.0000  0.5000 (multiplicity 2)  12 B 2.33-2.37

Density   5.04 g cm⁻³

Model ii:
Below is an optimized crystal structure of BeB4Mo, with properties calculated at the GGA-PBE level.

a b c (Å): 2.9353 2.9353 6.4793
angles (deg): 90.00 90.00 120.00
Last column: nearest neighbours and their distance in Å.
Space group P6/mmm (No. 191)
Asymmetric unit:
Be  0.0000  0.0000  0.0000 (multiplicity 1)  12 B 2.25
B  0.3333  0.6667  0.2291 (multiplicity 4)  3 B 1.69
Mo  0.0000  0.0000  0.5000 (multiplicity 1)  12 B 2.44

Density   5.09 g cm⁻³

Q: Which of them is the most stable? A: model i.

Model i:
Below is an optimized crystal structure of BeNiBMo, with properties calculated at the GGA-PBE level.

a b c (Å): 5.4128 5.4128 5.4128
angles (deg): 90.00 90.00 90.00
Last column: nearest neighbours and their distance in Å.
Space group F-43m (No. 216)
Asymmetric unit:
Be  0.0000  0.0000  0.0000 (multiplicity 4)  4 Ni 2.34, 4 Mo 2.34
Ni  0.2500  0.2500  0.7500 (multiplicity 4)  4 Be 2.34, 4 B 2.34
B  0.0000  0.0000  0.5000 (multiplicity 4)  4 Mo 2.34, 4 Ni 2.34
Mo  0.2500  0.2500  0.2500 (multiplicity 4)  4 Be 2.34, 4 B 2.34

Density   7.31 g cm⁻³

Model ii:
Below is an optimized crystal structure of BeNiBMo, with properties calculated at the GGA-PBE level.

a b c (Å): 5.5163 5.5163 5.5163
angles (deg): 90.00 90.00 90.00
Last column: nearest neighbours and their distance in Å.
Space group F-43m (No. 216)
Asymmetric unit:
Be  0.0000  0.0000  0.0000 (multiplicity 4)  4 Mo 2.39, 4 B 2.39
Ni  0.0000  0.0000  0.5000 (multiplicity 4)  4 Mo 2.39, 4 B 2.39
B  0.2500  0.2500  0.2500 (multiplicity 4)  4 Ni 2.39, 4 Be 2.39
Mo  0.2500  0.2500  0.7500 (multiplicity 4)  4 Ni 2.39, 4 Be 2.39

Density   6.90 g cm⁻³

Model iii:
Below is an optimized crystal structure of BeNiBMo, with properties calculated at the GGA-PBE level.

a b c (Å): 5.5105 5.5105 5.5105
angles (deg): 90.00 90.00 90.00
Last column: nearest neighbours and their distance in Å.
Space group F-43m (No. 216)
Asymmetric unit:
Be  0.0000  0.0000  0.0000 (multiplicity 4)  4 Ni 2.39, 4 B 2.39
Ni  0.2500  0.2500  0.7500 (multiplicity 4)  4 Mo 2.39, 4 Be 2.39
B  0.2500  0.2500  0.2500 (multiplicity 4)  4 Mo 2.39, 4 Be 2.39
Mo  0.0000  0.0000  0.5000 (multiplicity 4)  4 Ni 2.39, 4 B 2.39

Density   6.92 g cm⁻³

Q: Which of them is the most stable? A: model i.

Model i:
Below is an optimized crystal structure of BeNb2B, with properties calculated at the GGA-PBE level.

a b c (Å): 4.7842 3.2848 6.7084
angles (deg): 90.00 110.60 90.00
Last column: nearest neighbours and their distance in Å.
Space group P2_1/m (No. 11)
Asymmetric unit:
Be  0.1271  0.2500  0.2795 (multiplicity 2)  2 B 2.00
Nb  0.2871  0.7500  0.5780 (multiplicity 2)  3 B 2.43-2.54, 4 Be 2.48-2.62
Nb  0.2966  0.7500  0.0685 (multiplicity 2)  4 B 2.43-2.58, 3 Be 2.48-2.50
B  0.1280  0.2500  0.7836 (multiplicity 2)  2 Be 2.00

Density   6.92 g cm⁻³

Model ii:
Below is an optimized crystal structure of BeNb2B, with properties calculated at the GGA-PBE level.

a b c (Å): 5.9913 5.9913 5.9913
angles (deg): 90.00 90.00 90.00
Last column: nearest neighbours and their distance in Å.
Space group F-43m (No. 216)
Asymmetric unit:
Be  0.0000  0.0000  0.0000 (multiplicity 4)  4 Nb 2.59, 4 B 2.59
Nb  0.0000  0.0000  0.5000 (multiplicity 4)  4 Nb 2.59, 4 B 2.59
Nb  0.2500  0.2500  0.2500 (multiplicity 4)  4 Nb 2.59, 4 Be 2.59
B  0.2500  0.2500  0.7500 (multiplicity 4)  4 Nb 2.59, 4 Be 2.59

Density   6.35 g cm⁻³

Q: Which of them is the most stable? A: model i.

Model i:
Below is an optimized crystal structure of BeNbB, with properties calculated at the GGA-PBE level.

a b c (Å): 5.3719 5.3719 5.3719
angles (deg): 90.00 90.00 90.00
Last column: nearest neighbours and their distance in Å.
Space group F-43m (No. 216)
Asymmetric unit:
Be  0.0000  0.0000  0.0000 (multiplicity 4)  4 Nb 2.33
Nb  0.2500  0.2500  0.7500 (multiplicity 4)  4 Be 2.33, 4 B 2.33
B  0.0000  0.0000  0.5000 (multiplicity 4)  4 Nb 2.33

Density   4.83 g cm⁻³

Model ii:
Below is an optimized crystal structure of BeNbB, with properties calculated at the GGA-PBE level.

a b c (Å): 3.1514 3.3891 11.4930
angles (deg): 90.00 90.00 90.00
Last column: nearest neighbours and their distance in Å.
Space group Imma (No. 74)
Asymmetric unit:
Be  0.0000  0.2500  0.0454 (multiplicity 4)  1 B 1.91, 2 Be 1.99
Nb  0.0000  0.2500  0.6337 (multiplicity 4)  6 B 2.46-2.48, 6 Be 2.53-2.59
B  0.0000  0.2500  0.2112 (multiplicity 4)  2 B 1.81, 1 Be 1.91

Density   6.10 g cm⁻³

Q: Which of them is the most stable? A: model ii.

Model i:
Below is an optimized crystal structure of BeNbNiB, with properties calculated at the GGA-PBE level.

a b c (Å): 5.5221 5.5221 5.5221
angles (deg): 90.00 90.00 90.00
Last column: nearest neighbours and their distance in Å.
Space group F-43m (No. 216)
Asymmetric unit:
Be  0.0000  0.0000  0.0000 (multiplicity 4)  4 Nb 2.39, 4 Ni 2.39
Nb  0.2500  0.2500  0.2500 (multiplicity 4)  4 Be 2.39, 4 B 2.39
Ni  0.2500  0.2500  0.7500 (multiplicity 4)  4 Be 2.39, 4 B 2.39
B  0.0000  0.0000  0.5000 (multiplicity 4)  4 Ni 2.39, 4 Nb 2.39

Density   6.76 g cm⁻³

Model ii:
Below is an optimized crystal structure of BeNbNiB, with properties calculated at the GGA-PBE level.

a b c (Å): 5.6115 5.6115 5.6115
angles (deg): 90.00 90.00 90.00
Last column: nearest neighbours and their distance in Å.
Space group F-43m (No. 216)
Asymmetric unit:
Be  0.0000  0.0000  0.0000 (multiplicity 4)  4 Ni 2.43, 4 B 2.43
Nb  0.0000  0.0000  0.5000 (multiplicity 4)  4 Ni 2.43, 4 B 2.43
Ni  0.2500  0.2500  0.7500 (multiplicity 4)  4 Nb 2.43, 4 Be 2.43
B  0.2500  0.2500  0.2500 (multiplicity 4)  4 Nb 2.43, 4 Be 2.43

Density   6.44 g cm⁻³

Q: Which of them is the most stable? A: model i.